# AcGdMo

A geometry-optimized AcGdMo structure (GGA-PBE, the Open Quantum Materials Database).

a b c (Å): 7.207 7.207 7.207
angles (deg): 90.00 90.00 90.00
Fractional coordinates of all 12 atoms:
Ac1 0.000 0.000 0.000
Ac2 0.000 0.500 0.500
Ac3 0.500 0.000 0.500
Ac4 0.500 0.500 0.000
Gd1 0.250 0.250 0.250
Gd2 0.250 0.750 0.750
Gd3 0.750 0.250 0.750
Gd4 0.750 0.750 0.250
Mo1 0.000 0.000 0.500
Mo2 0.000 0.500 0.000
Mo3 0.500 0.000 0.000
Mo4 0.500 0.500 0.500

## Properties
E_form ... 1.2688 eV per atom
SG ... F-43m
Crystal system ... cubic
Magnetization ... 1.79 μB per formula unit